SmSc2 | PBE | relaxed

Structure (POSCAR):
```
SmSc2
1.0
3.3815 0.0000 0.0000
0.0000 3.3815 0.0000
0.0000 0.0000 14.3805
Sm Sc
2 4
Direct
0.0000 0.0000 0.0000
0.5000 0.5000 0.5000
0.0000 0.0000 0.3275
0.0000 0.0000 0.6725
0.5000 0.5000 0.1725
0.5000 0.5000 0.8275
```

The calculation puts the density of states at the Fermi level at 5.1 states/eV/f.u. The value obtained for the relative energy among the computed polymorphs is 0.0000 eV/atom. For the uncorrected energy, the calculation gives -34.4 eV/cell. As for the formation energy: 0.06 eV/atom.